## La2Ho9Tm (PBE-GGA)

Data for a relaxed structure of La2Ho9Tm.

Computed properties:
Mass density = 8.36 g/cm³
E_form = 0.033 eV per atom
Crystal system = tetragonal

Cell: 5.035 5.035 15.128 Å, 90.00 90.00 90.00°
Space group P4/mmm (No. 123)
Symmetry-distinct sites (fractional):
La  0.000  0.000  0.166 (multiplicity 2)
Ho  0.000  0.500  0.000 (multiplicity 2)
Ho  0.000  0.500  0.338 (multiplicity 4)
Ho  0.500  0.500  0.169 (multiplicity 2)
Ho  0.500  0.500  0.500 (multiplicity 1)
Tm  0.000  0.000  0.500 (multiplicity 1)

---

## LaTb2ScAs4 (PBE-GGA)

Data for a relaxed structure of LaTb2ScAs4.

Computed properties:
Mass density = 6.61 g/cm³
E_form = -1.457 eV per atom
Crystal system = monoclinic

Cell: 7.165 4.151 7.181 Å, 90.00 109.40 90.00°
Space group P2/m (No. 10)
Symmetry-distinct sites (fractional):
La  0.000  0.000  0.000 (multiplicity 1)
Tb  0.000  0.500  0.500 (multiplicity 1)
Tb  0.500  0.000  0.500 (multiplicity 1)
Sc  0.500  0.500  0.000 (multiplicity 1)
As  0.263  0.500  0.253 (multiplicity 2)
As  0.264  0.000  0.756 (multiplicity 2)

---

## Ca2Sb7Rh12 (PBE-GGA)

Data for a relaxed structure of Ca2Sb7Rh12.

Computed properties:
Mass density = 9.24 g/cm³
Crystal system = hexagonal
Uncorrected formation energy = -11.6 eV per formula unit

Cell: 10.5147 10.5147 4.0688 Å, 90.00 90.00 120.00°
Space group P-6 (No. 174)
Symmetry-distinct sites (fractional):
Ca  0.0000  0.0000  0.0000 (multiplicity 1)
Ca  0.3333  0.6667  0.5000 (multiplicity 1)
Sb  0.0654  0.4509  0.0000 (multiplicity 3)
Sb  0.2602  0.2234  0.5000 (multiplicity 3)
Sb  0.6667  0.3333  0.0000 (multiplicity 1)
Rh  0.0433  0.2741  0.5000 (multiplicity 3)
Rh  0.1148  0.7185  0.0000 (multiplicity 3)
Rh  0.3889  0.1821  0.0000 (multiplicity 3)
Rh  0.5360  0.4362  0.5000 (multiplicity 3)

---

## CaZrReSi2 (PBE-GGA)

Data for a relaxed structure of CaZrReSi2.

Computed properties:
Mass density = 5.75 g/cm³
Crystal system = tetragonal
Uncorrected formation energy = 9.2 eV per formula unit

Cell: 4.837 4.837 4.609 Å, 90.00 90.00 90.00°
Space group P4/mmm (No. 123)
Symmetry-distinct sites (fractional):
Ca  0.000  0.000  0.000 (multiplicity 1)
Zr  0.500  0.500  0.500 (multiplicity 1)
Re  0.000  0.000  0.500 (multiplicity 1)
Si  0.000  0.500  0.000 (multiplicity 2)

---

## CaNdCu2 (PBE-GGA)

Data for a relaxed structure of CaNdCu2.

Computed properties:
Mass density = 5.60 g/cm³
E_form = -0.117 eV per atom
Crystal system = tetragonal
E above lowest polymorph = 13 kJ/mol of formula units

Cell: 3.588 3.588 7.174 Å, 90.00 90.00 90.00°
Space group P4/mmm (No. 123)
Symmetry-distinct sites (fractional):
Ca  0.000  0.000  0.000 (multiplicity 1)
Nd  0.000  0.000  0.500 (multiplicity 1)
Cu  0.500  0.500  0.269 (multiplicity 2)

---

## SiBF (PBE-GGA)

Data for a relaxed structure of SiBF.

Computed properties:
Mass density = 2.15 g/cm³
Crystal system = monoclinic
E above lowest polymorph = 0 kJ/mol of formula units
Uncorrected formation energy = -2.5 eV per formula unit

Cell: 5.119 5.116 6.824 Å, 90.00 91.04 90.00°
Space group C2/m (No. 12)
Symmetry-distinct sites (fractional):
Si  0.000  0.234  0.000 (multiplicity 4)
B  0.211  0.500  0.172 (multiplicity 4)
F  0.247  0.500  0.369 (multiplicity 4)

---

## Pm7Tl2Pt2 (PBE-GGA)

Data for a relaxed structure of Pm7Tl2Pt2.

Computed properties:
Mass density = 9.07 g/cm³
E_form = -0.524 eV per atom
Crystal system = orthorhombic
E above lowest polymorph = 0 kJ/mol of formula units

Cell: 3.994 16.531 10.057 Å, 90.00 90.00 90.00°
Space group Imm2 (No. 44)
Symmetry-distinct sites (fractional):
Pm  0.000  0.000  0.000 (multiplicity 2)
Pm  0.000  0.102  0.604 (multiplicity 4)
Pm  0.000  0.329  0.381 (multiplicity 4)
Pm  0.000  0.383  0.773 (multiplicity 4)
Tl  0.000  0.240  0.098 (multiplicity 4)
Pt  0.000  0.000  0.351 (multiplicity 2)
Pt  0.000  0.500  0.267 (multiplicity 2)

---

## Ba2RuIO6 (PBE-GGA)

Data for a relaxed structure of Ba2RuIO6.

Computed properties:
Mass density = 6.76 g/cm³
Crystal system = cubic
Uncorrected formation energy = -14.0 eV per formula unit

Cell: 8.377 8.377 8.377 Å, 90.00 90.00 90.00°
Space group Fm-3m (No. 225)
Symmetry-distinct sites (fractional):
Ba  0.250  0.250  0.250 (multiplicity 8)
Ru  0.000  0.000  0.000 (multiplicity 4)
I  0.000  0.000  0.500 (multiplicity 4)
O  0.000  0.000  0.251 (multiplicity 24)

---

Number 1: DFT total energy -4.595 eV per atom. Number 2: DFT total energy -6.346 eV per atom. Number 3: DFT total energy -6.316 eV per atom. Number 4: DFT total energy -4.929 eV per atom. Number 5: DFT total energy -3.858 eV per atom. Number 6: DFT total energy -5.505 eV per atom. Number 7: DFT total energy -5.075 eV per atom. Number 8: DFT total energy -5.846 eV per atom.